Computed, not measured: a relaxed structure of LaAs2Au2 at the PBE level of DFT.

Unit cell a=7.845 b=7.845 c=3.612 alpha=90.00 beta=90.00 gamma=90.00
Space group P4/mbm (No. 127)
One atom of each set of equivalent atoms:
La  0.000  0.000  0.000 [2 per cell]
As  0.199  0.301  0.500 [4 per cell]
Au  0.120  0.620  0.000 [4 per cell]

Calculated values
energy: -45.8 eV for the cell shown
crystal system: tetragonal
ΔE_f: -423 meV/atom

Computed, not measured: a relaxed structure of Na3U3WN8 at the PBE level of DFT.

Unit cell a=6.7498 b=6.7498 c=17.2038 alpha=90.00 beta=90.00 gamma=120.00
Space group R-3m (No. 166, hexagonal axes)
One atom of each set of equivalent atoms:
Na  0.0000  0.5000  0.0000 [9 per cell]
U  0.0000  0.5000  0.5000 [9 per cell]
W  0.0000  0.0000  0.5000 [3 per cell]
N  0.0000  0.0000  0.2304 [6 per cell]
N  0.0191  0.5095  0.2256 [18 per cell]

Calculated values
energy: -391.0 eV for the cell shown
crystal system: trigonal
raw formation energy: -1249 kJ/mol of formula units

Computed, not measured: a relaxed structure of Ga12Sn3Bi5 at the PBE level of DFT.

Unit cell a=16.729 b=16.729 c=16.729 alpha=90.00 beta=90.00 gamma=90.00
Space group Ia-3d (No. 230)
One atom of each set of equivalent atoms:
Ga  0.010  0.081  0.657 [96 per cell]
Sn  0.000  0.250  0.125 [24 per cell]
Bi  0.000  0.000  0.000 [16 per cell]
Bi  0.000  0.250  0.375 [24 per cell]

Calculated values
energy: -517.0 eV for the cell shown
crystal system: cubic
ΔE_f: 156 meV/atom

Computed, not measured: a relaxed structure of Th2ScSn2 at the PBE level of DFT.

Unit cell a=5.091 b=17.600 c=6.457 alpha=90.00 beta=90.00 gamma=90.00
Space group Cmc2_1 (No. 36)
One atom of each set of equivalent atoms:
Th  0.000  0.000  0.000 [4 per cell]
Th  0.000  0.197  0.251 [4 per cell]
Sc  0.000  0.403  0.250 [4 per cell]
Sn  0.000  0.178  0.751 [4 per cell]
Sn  0.000  0.419  0.750 [4 per cell]

Calculated values
energy: -126.7 eV for the cell shown
crystal system: orthorhombic
ΔE_f: -498 meV/atom
relative energy among the computed polymorphs: 0.25 eV per formula unit

Computed, not measured: a relaxed structure of Tb5Bi4Sb at the PBE level of DFT.

Unit cell a=4.472 b=6.323 c=22.365 alpha=90.00 beta=90.00 gamma=90.00
Space group Immm (No. 71)
One atom of each set of equivalent atoms:
Tb  0.000  0.000  0.000 [2 per cell]
Tb  0.000  0.000  0.200 [4 per cell]
Tb  0.000  0.000  0.403 [4 per cell]
Bi  0.000  0.500  0.199 [4 per cell]
Bi  0.000  0.500  0.400 [4 per cell]
Sb  0.000  0.500  0.000 [2 per cell]

Calculated values
energy: -104.3 eV for the cell shown
crystal system: orthorhombic
raw formation energy: -900 kJ/mol of formula units

Computed, not measured: a relaxed structure of NaLiBiPb at the PBE level of DFT.

Unit cell a=5.815 b=5.815 c=6.693 alpha=90.00 beta=90.00 gamma=90.00
Space group I-4m2 (No. 119)
One atom of each set of equivalent atoms:
Na  0.000  0.000  0.000 [2 per cell]
Li  0.000  0.500  0.250 [2 per cell]
Bi  0.000  0.000  0.500 [2 per cell]
Pb  0.000  0.500  0.750 [2 per cell]

Calculated values
energy: -23.3 eV for the cell shown
crystal system: tetragonal
ΔE_f: -212 meV/atom
relative energy among the computed polymorphs: 0.16 eV per formula unit

Q: Which of these has the highest energy?
A: NaLiBiPb

Q: Which formula does entry 1 have?
A: LaAs2Au2

Q: The lowest energy belongs to which entry?
A: Ga12Sn3Bi5

Q: Among the records above, which one has the highest energy?
A: NaLiBiPb